Entry 1:
A geometry-optimized Ac3Pd3Pt2 structure. Source: Alexandria, functional PBE. Values from VASP.

Structure (Quantum ESPRESSO input):
```
&SYSTEM
  ibrav = 0, nat = 16, ntyp = 3
/
ATOMIC_SPECIES
Pd 106.42 Pd.upf
Pt 195.08 Pt.upf
Ac 227.00 Ac.upf
CELL_PARAMETERS angstrom
4.4250 0.0000 0.0000
-2.2125 5.6801 0.0000
0.0000 0.0000 16.3442
ATOMIC_POSITIONS crystal
Pd 0.5887 0.1774 0.4472
Pt 0.1823 0.3646 0.1206
Pt 0.8177 0.6354 0.6206
Pd 0.5887 0.1774 0.0528
Ac 0.1214 0.2428 0.9104
Pd 0.4113 0.8226 0.9472
Pd 0.6579 0.3158 0.7500
Pd 0.4113 0.8226 0.5528
Ac 0.8786 0.7572 0.4104
Ac 0.3908 0.7815 0.7500
Ac 0.8786 0.7572 0.0896
Ac 0.6092 0.2185 0.2500
Ac 0.1214 0.2428 0.5896
Pt 0.1823 0.3646 0.3794
Pt 0.8177 0.6354 0.8794
Pd 0.3421 0.6842 0.2500
```

Properties
spin magnetization = 0.0 μB per formula unit
ΔE_f = -907 meV per atom
DOS(E_F) = 7.03 states/eV per cell

Entry 2:
A geometry-optimized CdB4Rh8 structure. Source: Alexandria, functional PBE. Values from VASP.

Structure (Quantum ESPRESSO input):
```
&SYSTEM
  ibrav = 0, nat = 13, ntyp = 3
/
ATOMIC_SPECIES
B 10.81 B.upf
Rh 102.91 Rh.upf
Cd 112.41 Cd.upf
CELL_PARAMETERS angstrom
2.9638 0.0000 0.6195
1.4819 7.4185 0.3097
-0.0358 0.0000 7.5713
ATOMIC_POSITIONS crystal
B 0.1575 0.5199 0.1650
Rh 0.6669 0.3725 0.2936
Cd 0.0000 0.0000 0.0000
Rh 0.3331 0.6275 0.7064
B 0.8425 0.4801 0.8350
Rh 0.9606 0.7064 0.3725
B 0.6775 0.1650 0.4801
Rh 0.3211 0.0363 0.3216
Rh 0.3573 0.3216 0.9637
B 0.3225 0.8350 0.5199
Rh 0.0394 0.2936 0.6275
Rh 0.6427 0.6784 0.0363
Rh 0.6789 0.9637 0.6784
```

Properties
spin magnetization = 0.0 μB per formula unit
ΔE_f = -236 meV per atom
DOS(E_F) = 11.08 states/eV per cell

Entry 3:
A geometry-optimized ZrH2Cl structure. Source: Alexandria, functional PBE. Values from VASP.

Structure (Quantum ESPRESSO input):
```
&SYSTEM
  ibrav = 0, nat = 4, ntyp = 3
/
ATOMIC_SPECIES
Cl 35.45 Cl.upf
Zr 91.22 Zr.upf
H 1.01 H.upf
CELL_PARAMETERS angstrom
0.0000 2.8077 2.8077
2.8077 0.0000 2.8077
2.8077 2.8077 0.0000
ATOMIC_POSITIONS crystal
Cl 0.0000 0.0000 0.0000
Zr 0.5000 0.5000 0.5000
H 0.2500 0.2500 0.2500
H 0.7500 0.7500 0.7500
```

Properties
spin magnetization = 0.0 μB per formula unit
relative energy among the computed polymorphs = 39.46 kJ/mol of atoms
DOS(E_F) = 1.69 states/eV per cell

Entry 4:
A geometry-optimized Nb2SiIr structure. Source: Alexandria, functional PBE. Values from VASP.

Structure (Quantum ESPRESSO input):
```
&SYSTEM
  ibrav = 0, nat = 8, ntyp = 3
/
ATOMIC_SPECIES
Ir 192.22 Ir.upf
Nb 92.91 Nb.upf
Si 28.09 Si.upf
CELL_PARAMETERS angstrom
5.8119 0.0000 0.0000
0.0000 5.8119 0.0000
2.9059 2.9059 5.7490
ATOMIC_POSITIONS crystal
Ir 0.7500 0.2500 0.5000
Nb 0.3750 0.3725 0.7500
Ir 0.0000 0.0000 0.0000
Si 0.5000 0.5000 0.0000
Nb 0.6275 0.1250 0.2500
Si 0.2500 0.7500 0.5000
Nb 0.8750 0.8775 0.7500
Nb 0.1225 0.6250 0.2500
```

Properties
spin magnetization = 0.0 μB per formula unit
DOS(E_F) = 8.51 states/eV per cell
formation energy from raw total energies = 0.762 eV per atom

Entry 5:
A geometry-optimized CaLaBr2 structure. Source: Alexandria, functional PBE. Values from VASP.

Structure (Quantum ESPRESSO input):
```
&SYSTEM
  ibrav = 0, nat = 4, ntyp = 3
/
ATOMIC_SPECIES
Br 79.90 Br.upf
La 138.91 La.upf
Ca 40.08 Ca.upf
CELL_PARAMETERS angstrom
4.0926 0.0000 0.0000
0.0000 3.8652 0.0703
0.0000 -0.1358 7.6010
ATOMIC_POSITIONS crystal
Br 0.0000 0.2502 0.5358
Br 0.0000 0.2498 0.9642
La 0.5000 0.7500 0.7500
Ca 0.5000 0.2500 0.2500
```

Properties
spin magnetization = 0.0 μB per formula unit
relative energy among the computed polymorphs = 9.32 kJ/mol of atoms
DOS(E_F) = 1.87 states/eV per cell
formation energy from raw total energies = -1.199 eV per atom

Entry 6:
A geometry-optimized KSiAsSe structure. Source: Alexandria, functional PBE. Values from VASP.

Structure (Quantum ESPRESSO input):
```
&SYSTEM
  ibrav = 0, nat = 12, ntyp = 4
/
ATOMIC_SPECIES
K 39.10 K.upf
As 74.92 As.upf
Si 28.09 Si.upf
Se 78.96 Se.upf
CELL_PARAMETERS angstrom
3.9751 0.0000 0.0000
-1.9876 3.4426 0.0000
0.0000 0.0000 23.9870
ATOMIC_POSITIONS crystal
K 0.3333 0.6667 0.8767
As 0.0000 0.0000 0.9890
Si 0.6667 0.3333 0.0327
As 0.3333 0.6667 0.6557
K 0.0000 0.0000 0.2100
Si 0.3333 0.6667 0.3660
Se 0.3333 0.6667 0.4567
Se 0.0000 0.0000 0.7900
Si 0.0000 0.0000 0.6994
K 0.6667 0.3333 0.5434
Se 0.6667 0.3333 0.1233
As 0.6667 0.3333 0.3224
```

Properties
spin magnetization = 0.0 μB per formula unit
relative energy among the computed polymorphs = 0.66 kJ/mol of atoms
DOS(E_F) = 2.73 states/eV per cell
formation energy from raw total energies = -0.402 eV per atom

Entry 7:
A geometry-optimized SrLiLa2S structure. Source: Alexandria, functional PBE. Values from VASP.

Structure (Quantum ESPRESSO input):
```
&SYSTEM
  ibrav = 0, nat = 5, ntyp = 4
/
ATOMIC_SPECIES
S 32.06 S.upf
La 138.91 La.upf
Li 6.94 Li.upf
Sr 87.62 Sr.upf
CELL_PARAMETERS angstrom
-0.0926 -3.4333 4.8809
2.2744 -3.1066 -2.1421
5.1107 2.4746 1.8376
ATOMIC_POSITIONS crystal
S 0.5000 0.5000 0.5000
La 0.0000 0.0000 0.5000
Li 0.0000 0.5000 0.0000
Sr 0.0000 0.0000 0.0000
La 0.5000 0.0000 0.0000
```

Properties
spin magnetization = 0.0 μB per formula unit
DOS(E_F) = 5.88 states/eV per cell
formation energy from raw total energies = 0.770 eV per atom

Entry 8:
A geometry-optimized TiCdGa2Te structure. Source: Alexandria, functional PBE. Values from VASP.

Structure (Quantum ESPRESSO input):
```
&SYSTEM
  ibrav = 0, nat = 5, ntyp = 4
/
ATOMIC_SPECIES
Ga 69.72 Ga.upf
Ti 47.87 Ti.upf
Te 127.60 Te.upf
Cd 112.41 Cd.upf
CELL_PARAMETERS angstrom
5.1941 0.0000 0.0000
0.0000 5.1703 0.0000
0.0000 0.0000 5.1941
ATOMIC_POSITIONS crystal
Ga 0.0000 0.0000 0.5000
Ga 0.5000 0.0000 0.0000
Ti 0.0000 0.0000 0.0000
Te 0.0000 0.5000 0.0000
Cd 0.5000 0.5000 0.5000
```

Properties
spin magnetization = 0.0 μB per formula unit
DOS(E_F) = 4.30 states/eV per cell
formation energy from raw total energies = 0.158 eV per atom

Entry 9:
A geometry-optimized BaGaN structure. Source: Alexandria, functional PBE. Values from VASP.

Structure (Quantum ESPRESSO input):
```
&SYSTEM
  ibrav = 0, nat = 9, ntyp = 3
/
ATOMIC_SPECIES
Ba 137.33 Ba.upf
Ga 69.72 Ga.upf
N 14.01 N.upf
CELL_PARAMETERS angstrom
4.3151 0.0000 0.0000
-2.1575 3.7369 0.0000
0.0000 0.0000 17.1602
ATOMIC_POSITIONS crystal
Ba 0.0000 0.0000 0.1890
Ga 0.3333 0.6667 0.3593
Ba 0.3333 0.6667 0.8557
Ga 0.0000 0.0000 0.6927
Ga 0.6667 0.3333 0.0260
Ba 0.6667 0.3333 0.5224
N 0.6667 0.3333 0.1302
N 0.3333 0.6667 0.4635
N 0.0000 0.0000 0.7968
```

Properties
spin magnetization = 0.0 μB per formula unit
formation energy from raw total energies = -0.361 eV per atom

Entry 10:
A geometry-optimized Pb3O structure. Source: Alexandria, functional PBE. Values from VASP.

Structure (Quantum ESPRESSO input):
```
&SYSTEM
  ibrav = 0, nat = 4, ntyp = 2
/
ATOMIC_SPECIES
Pb 207.20 Pb.upf
O 16.00 O.upf
CELL_PARAMETERS angstrom
-0.4092 -5.1668 0.3076
4.1936 -2.8789 1.0409
0.4457 -2.3703 4.5979
ATOMIC_POSITIONS crystal
Pb 0.5000 0.5000 0.5000
O 0.0000 0.0000 0.0000
Pb 0.7500 0.7500 0.7500
Pb 0.2500 0.2500 0.2500
```

Properties
spin magnetization = 0.4 μB per formula unit
relative energy among the computed polymorphs = 44.17 kJ/mol of atoms
DOS(E_F) = 3.74 states/eV per cell
formation energy from raw total energies = 0.183 eV per atom

Entry 11:
A geometry-optimized Rb2GaSn4Pb3 structure. Source: Alexandria, functional PBE. Values from VASP.

Structure (Quantum ESPRESSO input):
```
&SYSTEM
  ibrav = 0, nat = 10, ntyp = 4
/
ATOMIC_SPECIES
Sn 118.71 Sn.upf
Pb 207.20 Pb.upf
Rb 85.47 Rb.upf
Ga 69.72 Ga.upf
CELL_PARAMETERS angstrom
-4.3162 -1.1136 2.6145
-0.5022 -4.3807 -2.6950
7.2138 -6.4607 9.1573
ATOMIC_POSITIONS crystal
Sn 0.5000 0.5000 0.0000
Sn 0.0000 0.5000 0.3802
Pb 0.5000 0.0000 0.8638
Pb 0.0000 0.5000 0.1362
Pb 0.0000 0.0000 0.5000
Rb 0.5000 0.0000 0.2586
Rb 0.0000 0.5000 0.7414
Sn 0.0000 0.0000 0.0000
Sn 0.5000 0.0000 0.6198
Ga 0.5000 0.5000 0.5000
```

Properties
spin magnetization = 0.0 μB per formula unit
ΔE_f = -83 meV per atom
DOS(E_F) = 6.73 states/eV per cell

Entry 12:
A geometry-optimized Th3HgAu structure. Source: Alexandria, functional PBE. Values from VASP.

Structure (Quantum ESPRESSO input):
```
&SYSTEM
  ibrav = 0, nat = 10, ntyp = 3
/
ATOMIC_SPECIES
Th 232.04 Th.upf
Au 196.97 Au.upf
Hg 200.59 Hg.upf
CELL_PARAMETERS angstrom
-3.2484 1.6368 0.4755
-0.0256 -5.4439 4.4814
4.7632 6.9815 8.5083
ATOMIC_POSITIONS crystal
Th 0.4784 0.9572 0.2500
Th 0.1678 0.3353 0.0718
Au 0.5000 0.0000 0.0000
Hg 0.7828 0.5666 0.2500
Au 0.5000 0.0000 0.5000
Th 0.8322 0.6647 0.5718
Th 0.8322 0.6647 0.9282
Th 0.5216 0.0428 0.7500
Th 0.1678 0.3353 0.4282
Hg 0.2172 0.4334 0.7500
```

Properties
spin magnetization = 0.0 μB per formula unit
ΔE_f = -169 meV per atom
DOS(E_F) = 9.06 states/eV per cell

Entry 13:
A geometry-optimized Zr2CrRu structure. Source: Alexandria, functional PBE. Values from VASP.

Structure (Quantum ESPRESSO input):
```
&SYSTEM
  ibrav = 0, nat = 4, ntyp = 3
/
ATOMIC_SPECIES
Ru 101.07 Ru.upf
Cr 52.00 Cr.upf
Zr 91.22 Zr.upf
CELL_PARAMETERS angstrom
-2.1447 3.8038 1.0351
-2.6910 3.0485 -1.8986
-4.8610 -2.3141 1.5009
ATOMIC_POSITIONS crystal
Ru 0.2500 0.2500 0.2500
Cr 0.7500 0.7500 0.7500
Zr 0.4999 0.4999 0.5021
Zr 0.0001 0.0001 0.9979
```

Properties
spin magnetization = 1.2 μB per formula unit
ΔE_f = 175 meV per atom
DOS(E_F) = 4.78 states/eV per cell

Entry 14:
A geometry-optimized MgBe2Zn structure. Source: Alexandria, functional PBE. Values from VASP.

Structure (Quantum ESPRESSO input):
```
&SYSTEM
  ibrav = 0, nat = 4, ntyp = 3
/
ATOMIC_SPECIES
Be 9.01 Be.upf
Mg 24.30 Mg.upf
Zn 65.41 Zn.upf
CELL_PARAMETERS angstrom
-2.3941 7.8440 0.8816
-3.2601 6.8090 3.3235
-0.6167 7.6496 3.0234
ATOMIC_POSITIONS crystal
Be 0.4916 0.4916 0.4916
Mg 0.2500 0.2500 0.2500
Be 0.0084 0.0084 0.0084
Zn 0.7500 0.7500 0.7500
```

Properties
spin magnetization = 0.0 μB per formula unit
ΔE_f = 442 meV per atom
relative energy among the computed polymorphs = 21.54 kJ/mol of atoms
DOS(E_F) = 0.89 states/eV per cell

Entry 15:
A geometry-optimized TmSi2Pd4 structure. Source: Alexandria, functional PBE. Values from VASP.

Structure (Quantum ESPRESSO input):
```
&SYSTEM
  ibrav = 0, nat = 14, ntyp = 3
/
ATOMIC_SPECIES
Pd 106.42 Pd.upf
Si 28.09 Si.upf
Tm 168.93 Tm.upf
CELL_PARAMETERS angstrom
-1.1916 1.1577 3.2731
6.4817 -2.9880 3.4167
3.7420 6.8890 -1.0743
ATOMIC_POSITIONS crystal
Pd 0.5000 0.5704 0.1838
Si 0.0000 0.2274 0.7726
Pd 0.0000 0.9296 0.6838
Pd 0.0000 0.0704 0.3162
Pd 0.5000 0.4296 0.8162
Pd 0.5000 0.8162 0.4296
Pd 0.0000 0.6838 0.9296
Tm 0.0000 0.5000 0.5000
Tm 0.5000 0.0000 0.0000
Pd 0.0000 0.3162 0.0704
Si 0.5000 0.7274 0.7274
Si 0.5000 0.2726 0.2726
Si 0.0000 0.7726 0.2274
Pd 0.5000 0.1838 0.5704
```

Properties
spin magnetization = 0.0 μB per formula unit
relative energy among the computed polymorphs = 0.00 kJ/mol of atoms
DOS(E_F) = 6.96 states/eV per cell
formation energy from raw total energies = -0.829 eV per atom

Entry 16:
A geometry-optimized KMg2Si structure. Source: Alexandria, functional PBE. Values from VASP.

Structure (Quantum ESPRESSO input):
```
&SYSTEM
  ibrav = 0, nat = 4, ntyp = 3
/
ATOMIC_SPECIES
Si 28.09 Si.upf
Mg 24.30 Mg.upf
K 39.10 K.upf
CELL_PARAMETERS angstrom
-10.7472 1.0020 -2.0657
-10.1786 -1.8034 -3.7306
-10.8125 -1.9055 -0.4820
ATOMIC_POSITIONS crystal
Si 0.5100 0.5100 0.5100
Mg 0.2398 0.2398 0.2398
K 0.7599 0.7599 0.7599
Mg 0.9902 0.9902 0.9902
```

Properties
spin magnetization = 0.5 μB per formula unit
DOS(E_F) = 2.07 states/eV per cell
formation energy from raw total energies = 0.338 eV per atom

Entry 17:
A geometry-optimized KNi2RhAu structure. Source: Alexandria, functional PBE. Values from VASP.

Structure (Quantum ESPRESSO input):
```
&SYSTEM
  ibrav = 0, nat = 5, ntyp = 4
/
ATOMIC_SPECIES
Ni 58.69 Ni.upf
K 39.10 K.upf
Au 196.97 Au.upf
Rh 102.91 Rh.upf
CELL_PARAMETERS angstrom
4.7771 0.0000 0.0000
0.0000 5.5478 0.0000
0.0000 0.0000 4.7771
ATOMIC_POSITIONS crystal
Ni 0.5000 0.0000 0.0000
K 0.0000 0.5000 0.0000
Au 0.0000 0.0000 0.0000
Ni 0.0000 0.0000 0.5000
Rh 0.5000 0.5000 0.5000
```

Properties
spin magnetization = 2.7 μB per formula unit
ΔE_f = 1437 meV per atom
DOS(E_F) = 10.67 states/eV per cell

Entry 18:
A geometry-optimized TbGa3Pt5 structure. Source: Alexandria, functional PBE. Values from VASP.

Structure (Quantum ESPRESSO input):
```
&SYSTEM
  ibrav = 0, nat = 18, ntyp = 3
/
ATOMIC_SPECIES
Ga 69.72 Ga.upf
Pt 195.08 Pt.upf
Tb 158.93 Tb.upf
CELL_PARAMETERS angstrom
3.8796 0.0000 0.0000
-1.9398 6.6408 0.0000
0.0000 0.0000 13.1031
ATOMIC_POSITIONS crystal
Ga 0.6219 0.2439 0.4611
Pt 0.4599 0.9198 0.1482
Pt 0.8007 0.6014 0.4274
Pt 0.1993 0.3986 0.9274
Ga 0.6219 0.2439 0.0389
Tb 0.1029 0.2058 0.2500
Pt 0.0000 0.0000 0.5000
Ga 0.3781 0.7561 0.5389
Pt 0.5401 0.0802 0.6482
Pt 0.1993 0.3986 0.5726
Ga 0.8653 0.7306 0.2500
Pt 0.4599 0.9198 0.3518
Tb 0.8971 0.7942 0.7500
Pt 0.8007 0.6014 0.0726
Ga 0.3781 0.7561 0.9611
Pt 0.5401 0.0802 0.8518
Ga 0.1347 0.2694 0.7500
Pt 0.0000 0.0000 0.0000
```

Properties
spin magnetization = 0.0 μB per formula unit
ΔE_f = -690 meV per atom
DOS(E_F) = 6.86 states/eV per cell

Entry 19:
A geometry-optimized PmPu4Ru5 structure. Source: Alexandria, functional PBE. Values from VASP.

Structure (Quantum ESPRESSO input):
```
&SYSTEM
  ibrav = 0, nat = 10, ntyp = 3
/
ATOMIC_SPECIES
Pu 244.00 Pu.upf
Ru 101.07 Ru.upf
Pm 145.00 Pm.upf
CELL_PARAMETERS angstrom
3.2728 0.0000 0.0000
0.0000 3.2728 0.0000
0.0000 0.0000 17.0890
ATOMIC_POSITIONS crystal
Pu 0.0000 0.0000 0.7882
Pu 0.0000 0.0000 0.5949
Ru 0.5000 0.5000 0.5000
Pm 0.0000 0.0000 0.0000
Ru 0.5000 0.5000 0.8724
Ru 0.5000 0.5000 0.3092
Pu 0.0000 0.0000 0.4051
Ru 0.5000 0.5000 0.6908
Ru 0.5000 0.5000 0.1276
Pu 0.0000 0.0000 0.2118
```

Properties
spin magnetization = 0.0 μB per formula unit
ΔE_f = 375 meV per atom
DOS(E_F) = 31.57 states/eV per cell